No. 1
## PmSn4Pd4 (PBE)

Data for PmSn4Pd4 after structural relaxation.

Geometry as POSCAR:
```
PmSn4Pd4
1.0
-4.636 4.636 2.332
4.636 -4.636 2.332
4.636 4.636 -2.332
Pm Sn Pd
1 4 4
direct
0.000 0.000 0.000
0.121 0.642 0.763
0.358 0.121 0.479
0.642 0.879 0.521
0.879 0.358 0.237
0.299 0.412 0.711
0.412 0.701 0.113
0.588 0.299 0.887
0.701 0.588 0.289
```

Computed properties:
The excess energy over the best structure of this formula in the dataset is 0.12 eV per formula unit. For the total magnetization, the calculation gives 0.0 Bohr magnetons per cell. The formation energy is -0.52 eV/atom.


No. 2
## PmSn6Pd12 (PBE)

Data for PmSn6Pd12 after structural relaxation.

Geometry as POSCAR:
```
PmSn6Pd12
1.0
6.026 3.479 2.950
-6.026 3.479 2.950
0.000 -6.959 2.950
Pm Sn Pd
1 6 12
direct
0.000 0.000 0.000
0.278 0.278 0.698
0.278 0.698 0.278
0.302 0.722 0.722
0.698 0.278 0.278
0.722 0.302 0.722
0.722 0.722 0.302
0.117 0.500 0.883
0.117 0.883 0.500
0.126 0.372 0.372
0.372 0.126 0.372
0.372 0.372 0.126
0.500 0.117 0.883
0.500 0.883 0.117
0.628 0.628 0.874
0.628 0.874 0.628
0.874 0.628 0.628
0.883 0.117 0.500
0.883 0.500 0.117
```

Computed properties:
For the total magnetization, the calculation gives 0.0 Bohr magnetons per cell. The formation energy is -0.46 eV/atom.


No. 3
## Pm3Sn3Pd2 (PBE)

Data for Pm3Sn3Pd2 after structural relaxation.

Geometry as POSCAR:
```
Pm3Sn3Pd2
1.0
2.315 -5.585 0.000
2.315 5.585 0.000
0.000 0.000 15.507
Pm Sn Pd
6 6 4
direct
0.084 0.916 0.610
0.084 0.916 0.890
0.357 0.643 0.750
0.643 0.357 0.250
0.916 0.084 0.110
0.916 0.084 0.390
0.351 0.649 0.250
0.377 0.623 0.537
0.377 0.623 0.963
0.623 0.377 0.037
0.623 0.377 0.463
0.649 0.351 0.750
0.206 0.794 0.105
0.206 0.794 0.395
0.794 0.206 0.605
0.794 0.206 0.895
```

Computed properties:
The excess energy over the best structure of this formula in the dataset is 0.00 eV per formula unit. For the total magnetization, the calculation gives 0.0 Bohr magnetons per cell. The formation energy is -0.87 eV/atom.


No. 4
## Pm3Sn6Pd2 (PBE)

Data for Pm3Sn6Pd2 after structural relaxation.

Geometry as POSCAR:
```
Pm3Sn6Pd2
1.0
-2.189 2.189 15.082
2.189 -2.189 15.082
2.189 2.189 -15.082
Pm Sn Pd
3 6 2
direct
0.000 0.000 0.000
0.166 0.166 0.000
0.834 0.834 0.000
0.080 0.580 0.500
0.270 0.270 0.000
0.420 0.920 0.500
0.580 0.080 0.500
0.730 0.730 0.000
0.920 0.420 0.500
0.359 0.359 0.000
0.641 0.641 0.000
```

Computed properties:
For the total magnetization, the calculation gives 0.0 Bohr magnetons per cell. The formation energy is -0.67 eV/atom.


No. 5
## Pm2Sn5Pd3 (PBE)

Data for Pm2Sn5Pd3 after structural relaxation.

Geometry as POSCAR:
```
Pm2Sn5Pd3
1.0
-5.471 6.470 3.292
5.471 -6.470 3.292
5.471 6.470 -3.292
Pm Sn Pd
4 10 6
direct
0.143 0.228 0.372
0.357 0.728 0.085
0.643 0.272 0.915
0.857 0.772 0.628
0.028 0.750 0.278
0.090 0.669 0.758
0.250 0.250 0.000
0.410 0.169 0.579
0.472 0.750 0.722
0.528 0.250 0.278
0.590 0.831 0.421
0.750 0.750 0.000
0.910 0.331 0.242
0.972 0.250 0.722
0.142 0.896 0.038
0.250 0.750 0.500
0.358 0.396 0.753
0.642 0.604 0.247
0.750 0.250 0.500
0.858 0.104 0.962
```

Computed properties:
The excess energy over the best structure of this formula in the dataset is 0.29 eV per formula unit. For the total magnetization, the calculation gives 0.0 Bohr magnetons per cell. The formation energy is -0.68 eV/atom.


No. 6
## Pm5SnPd (PBE)

Data for Pm5SnPd after structural relaxation.

Geometry as POSCAR:
```
Pm5SnPd
1.0
5.457 -3.530 0.000
5.457 3.530 0.000
-2.894 0.000 11.222
Pm Sn Pd
10 2 2
direct
0.025 0.975 0.750
0.028 0.416 0.647
0.224 0.529 0.958
0.416 0.028 0.147
0.471 0.776 0.542
0.529 0.224 0.458
0.584 0.972 0.853
0.776 0.471 0.042
0.972 0.584 0.353
0.975 0.025 0.250
0.463 0.537 0.250
0.537 0.463 0.750
0.000 0.000 0.000
0.000 0.000 0.500
```

Computed properties:
For the total magnetization, the calculation gives 0.0 Bohr magnetons per cell. The formation energy is -0.30 eV/atom.


No. 7
## Pm3Sn4Pd3 (PBE)

Data for Pm3Sn4Pd3 after structural relaxation.

Geometry as POSCAR:
```
Pm3Sn4Pd3
1.0
-4.969 4.969 4.969
4.969 -4.969 4.969
4.969 4.969 -4.969
Pm Sn Pd
6 8 6
direct
0.125 0.750 0.875
0.250 0.625 0.375
0.375 0.250 0.625
0.625 0.375 0.250
0.750 0.875 0.125
0.875 0.125 0.750
0.000 0.337 0.500
0.000 0.837 0.500
0.163 0.163 0.163
0.337 0.500 0.000
0.500 0.000 0.337
0.500 0.000 0.837
0.663 0.663 0.663
0.837 0.500 0.000
0.125 0.875 0.250
0.250 0.125 0.875
0.375 0.625 0.750
0.625 0.750 0.375
0.750 0.375 0.625
0.875 0.250 0.125
```

Computed properties:
For the total magnetization, the calculation gives 0.0 Bohr magnetons per cell. The formation energy is -0.77 eV/atom.


No. 8
## Pm4SnPd (PBE)

Data for Pm4SnPd after structural relaxation.

Geometry as POSCAR:
```
Pm4SnPd
1.0
2.769 -10.409 0.000
2.769 10.409 0.000
0.000 0.000 6.508
Pm Sn Pd
8 2 2
direct
0.053 0.947 0.750
0.203 0.797 0.506
0.203 0.797 0.994
0.392 0.608 0.750
0.608 0.392 0.250
0.797 0.203 0.006
0.797 0.203 0.494
0.947 0.053 0.250
0.349 0.651 0.250
0.651 0.349 0.750
0.082 0.918 0.250
0.918 0.082 0.750
```

Computed properties:
For the total magnetization, the calculation gives 0.0 Bohr magnetons per cell. The formation energy is -0.42 eV/atom.


No. 9
## PmSnPd2 (PBE)

Data for PmSnPd2 after structural relaxation.

Geometry as POSCAR:
```
PmSnPd2
1.0
3.588 0.000 0.000
0.000 3.588 0.000
0.000 0.000 6.606
Pm Sn Pd
1 1 2
direct
0.000 0.000 0.000
0.000 0.000 0.500
0.500 0.500 0.266
0.500 0.500 0.734
```

Computed properties:
For the total magnetization, the calculation gives 0.0 Bohr magnetons per cell. The formation energy is -0.62 eV/atom.


No. 10
## Pm12SnPd5 (PBE)

Data for Pm12SnPd5 after structural relaxation.

Geometry as POSCAR:
```
Pm12SnPd5
1.0
-4.846 5.002 5.290
4.846 -5.002 5.290
4.846 5.002 -5.290
Pm Sn Pd
12 1 5
direct
0.035 0.224 0.811
0.180 0.288 0.468
0.180 0.712 0.892
0.325 0.024 0.699
0.325 0.627 0.301
0.412 0.224 0.189
0.588 0.776 0.811
0.675 0.373 0.699
0.675 0.976 0.301
0.820 0.288 0.108
0.820 0.712 0.532
0.965 0.776 0.189
0.500 0.500 0.000
0.000 0.000 0.000
0.131 0.631 0.500
0.353 0.000 0.353
0.647 0.000 0.647
0.869 0.369 0.500
```

Computed properties:
For the total magnetization, the calculation gives 0.0 Bohr magnetons per cell. The formation energy is -0.54 eV/atom.


No. 11
## Pm3Sn3Pd2 (PBE)

Data for Pm3Sn3Pd2 after structural relaxation.

Geometry as POSCAR:
```
Pm3Sn3Pd2
1.0
8.524 0.000 0.000
0.000 15.611 0.000
0.000 0.000 6.063
Pm Sn Pd
12 12 8
direct
0.033 0.110 0.126
0.033 0.390 0.126
0.174 0.250 0.632
0.326 0.750 0.132
0.467 0.610 0.626
0.467 0.890 0.626
0.533 0.110 0.374
0.533 0.390 0.374
0.674 0.250 0.868
0.826 0.750 0.368
0.967 0.610 0.874
0.967 0.890 0.874
0.183 0.750 0.623
0.196 0.038 0.606
0.196 0.462 0.606
0.304 0.538 0.106
0.304 0.962 0.106
0.317 0.250 0.123
0.683 0.750 0.877
0.696 0.038 0.894
0.696 0.462 0.894
0.804 0.538 0.394
0.804 0.962 0.394
0.817 0.250 0.377
0.090 0.610 0.376
0.090 0.890 0.376
0.410 0.110 0.876
0.410 0.390 0.876
0.590 0.610 0.124
0.590 0.890 0.124
0.910 0.110 0.624
0.910 0.390 0.624
```

Computed properties:
The excess energy over the best structure of this formula in the dataset is 0.24 eV per formula unit. For the total magnetization, the calculation gives 0.0 Bohr magnetons per cell. The formation energy is -0.84 eV/atom.


No. 12
## Pm12Sn6Pd (PBE)

Data for Pm12Sn6Pd after structural relaxation.

Geometry as POSCAR:
```
Pm12Sn6Pd
1.0
6.772 3.910 4.188
-6.772 3.910 4.188
0.000 -7.819 4.188
Pm Sn Pd
12 6 1
direct
0.023 0.680 0.943
0.057 0.977 0.320
0.193 0.426 0.562
0.320 0.057 0.977
0.426 0.562 0.193
0.438 0.807 0.574
0.562 0.193 0.426
0.574 0.438 0.807
0.680 0.943 0.023
0.807 0.574 0.438
0.943 0.023 0.680
0.977 0.320 0.057
0.123 0.636 0.309
0.309 0.123 0.636
0.364 0.691 0.877
0.636 0.309 0.123
0.691 0.877 0.364
0.877 0.364 0.691
0.000 0.000 0.000
```

Computed properties:
For the total magnetization, the calculation gives 0.0 Bohr magnetons per cell. The formation energy is -0.42 eV/atom.


No. 13
## PmSn2Pd4 (PBE)

Data for PmSn2Pd4 after structural relaxation.

Geometry as POSCAR:
```
PmSn2Pd4
1.0
2.273 1.312 8.144
-2.273 1.312 8.144
0.000 -2.625 8.144
Pm Sn Pd
1 2 4
direct
0.000 0.000 0.000
0.241 0.241 0.241
0.759 0.759 0.759
0.131 0.131 0.131
0.408 0.408 0.408
0.592 0.592 0.592
0.869 0.869 0.869
```

Computed properties:
The excess energy over the best structure of this formula in the dataset is 0.24 eV per formula unit. For the total magnetization, the calculation gives 0.0 Bohr magnetons per cell. The formation energy is -0.61 eV/atom.


No. 14
## Pm2Sn8Pd (PBE)

Data for Pm2Sn8Pd after structural relaxation.

Geometry as POSCAR:
```
Pm2Sn8Pd
1.0
4.708 0.000 0.000
0.000 4.708 0.000
0.000 0.000 13.055
Pm Sn Pd
2 8 1
direct
0.000 0.000 0.174
0.000 0.000 0.826
0.000 0.500 0.000
0.000 0.500 0.376
0.000 0.500 0.624
0.500 0.000 0.000
0.500 0.000 0.376
0.500 0.000 0.624
0.500 0.500 0.196
0.500 0.500 0.804
0.000 0.000 0.500
```

Computed properties:
For the total magnetization, the calculation gives 0.0 Bohr magnetons per cell. The formation energy is -0.41 eV/atom.


No. 15
## PmSn2Pd9 (PBE)

Data for PmSn2Pd9 after structural relaxation.

Geometry as POSCAR:
```
PmSn2Pd9
1.0
4.108 0.000 0.000
0.000 4.108 0.000
0.000 0.000 12.162
Pm Sn Pd
1 2 9
direct
0.000 0.000 0.000
0.000 0.000 0.337
0.000 0.000 0.663
0.000 0.500 0.177
0.000 0.500 0.500
0.000 0.500 0.823
0.500 0.000 0.177
0.500 0.000 0.500
0.500 0.000 0.823
0.500 0.500 0.000
0.500 0.500 0.339
0.500 0.500 0.661
```

Computed properties:
For the total magnetization, the calculation gives 0.0 Bohr magnetons per cell. The formation energy is -0.60 eV/atom.


No. 16
## Sr2PmSn3Pd4 (PBE)

Data for Sr2PmSn3Pd4 after structural relaxation.

Geometry as POSCAR:
```
Sr2PmSn3Pd4
1.0
4.694 0.000 0.000
0.000 4.694 0.000
0.000 0.000 11.311
Sr Pm Sn Pd
2 1 3 4
direct
0.000 0.500 0.226
0.500 0.000 0.774
0.000 0.000 0.500
0.000 0.500 0.882
0.500 0.000 0.118
0.500 0.500 0.500
0.000 0.000 0.000
0.000 0.500 0.648
0.500 0.000 0.352
0.500 0.500 0.000
```

Computed properties:
For the total magnetization, the calculation gives 0.0 Bohr magnetons per cell. The formation energy is -0.76 eV/atom.


No. 17
## SrPmSn2Pd5 (PBE)

Data for SrPmSn2Pd5 after structural relaxation.

Geometry as POSCAR:
```
SrPmSn2Pd5
1.0
4.679 0.000 0.000
0.000 4.679 0.000
0.000 0.000 8.884
Sr Pm Sn Pd
1 1 2 5
direct
0.000 0.000 0.000
0.000 0.000 0.500
0.500 0.500 0.342
0.500 0.500 0.658
0.000 0.500 0.216
0.000 0.500 0.784
0.500 0.000 0.216
0.500 0.000 0.784
0.500 0.500 0.000
```

Computed properties:
For the total magnetization, the calculation gives 0.0 Bohr magnetons per cell. The formation energy is -0.58 eV/atom.


No. 18
## SrPmSnPd (PBE)

Data for SrPmSnPd after structural relaxation.

Geometry as POSCAR:
```
SrPmSnPd
1.0
0.000 3.809 3.809
3.809 0.000 3.809
3.809 3.809 0.000
Sr Pm Sn Pd
1 1 1 1
direct
0.000 0.000 0.000
0.500 0.500 0.500
0.250 0.250 0.250
0.750 0.750 0.750
```

Computed properties:
For the total magnetization, the calculation gives 0.0 Bohr magnetons per cell. The formation energy is -0.60 eV/atom.


No. 19
## TbPmSnPd (PBE)

Data for TbPmSnPd after structural relaxation.

Geometry as POSCAR:
```
TbPmSnPd
1.0
0.000 3.703 3.703
3.703 0.000 3.703
3.703 3.703 0.000
Tb Pm Sn Pd
1 1 1 1
direct
0.000 0.000 0.000
0.500 0.500 0.500
0.750 0.750 0.750
0.250 0.250 0.250
```

Computed properties:
For the total magnetization, the calculation gives 0.0 Bohr magnetons per cell. The formation energy is -0.71 eV/atom.